Version one
Computed, not measured: an optimized crystal structure of LiScMo at the PBE level of DFT.

Unit cell a=4.4984 b=4.4984 c=6.0503 alpha=90.00 beta=90.00 gamma=120.00
Space group P3m1 (No. 156)
Unique sites:
Li 0.0000 0.0000 0.0000 [1 per cell]
Li 0.3333 0.6667 0.6459 [1 per cell]
Sc 0.3333 0.6667 0.1908 [1 per cell]
Sc 0.6667 0.3333 0.8107 [1 per cell]
Mo 0.0000 0.0000 0.4717 [1 per cell]
Mo 0.6667 0.3333 0.3641 [1 per cell]

* N(E_F): 2.7 states/eV/f.u.


Version two
Computed, not measured: an optimized crystal structure of LiScMo at the PBE level of DFT.

Unit cell a=10.802 b=3.334 c=6.660 alpha=90.00 beta=113.50 gamma=90.00
Space group C2/m (No. 12)
Unique sites:
Li 0.185 0.000 0.345 [4 per cell]
Sc 0.000 0.500 0.000 [2 per cell]
Sc 0.000 0.500 0.500 [2 per cell]
Mo 0.186 0.000 0.866 [4 per cell]

* N(E_F): 2.6 states/eV/f.u.


Energies relative to the minimum, eV/atom: version one 0.005; version two 0.000


Version one
Computed, not measured: an optimized crystal structure of LiScMo at the PBE level of DFT.

Unit cell a=4.7580 b=4.7580 c=2.6239 alpha=90.00 beta=90.00 gamma=120.00
Space group P3m1 (No. 156)
Unique sites:
Li 0.0000 0.0000 0.0000 [1 per cell]
Sc 0.3333 0.6667 0.7404 [1 per cell]
Mo 0.6667 0.3333 0.2764 [1 per cell]

* N(E_F): 1.5 states/eV/f.u.


Version two
Computed, not measured: an optimized crystal structure of LiScMo at the PBE level of DFT.

Unit cell a=10.507 b=3.345 c=6.647 alpha=90.00 beta=104.41 gamma=90.00
Space group Cm (No. 8)
Unique sites:
Li 0.000 0.000 0.000 [2 per cell]
Li 0.141 0.500 0.843 [2 per cell]
Sc 0.315 0.000 0.644 [2 per cell]
Sc 0.497 0.500 0.437 [2 per cell]
Mo 0.186 0.500 0.299 [2 per cell]
Mo 0.310 0.000 0.160 [2 per cell]

* N(E_F): 2.5 states/eV/f.u.


Version three
Computed, not measured: an optimized crystal structure of LiScMo at the PBE level of DFT.

Unit cell a=4.893 b=3.340 c=13.353 alpha=90.00 beta=90.00 gamma=90.00
Space group Amm2 (No. 38)
Unique sites:
Li 0.000 0.000 0.000 [2 per cell]
Li 0.000 0.000 0.358 [2 per cell]
Sc 0.000 0.000 0.689 [2 per cell]
Sc 0.500 0.000 0.520 [2 per cell]
Mo 0.500 0.000 0.206 [2 per cell]
Mo 0.500 0.000 0.839 [2 per cell]

* N(E_F): 2.8 states/eV/f.u.


Energies relative to the minimum, eV/atom: version one 0.139; version two 0.007; version three 0.000


Version one
Computed, not measured: an optimized crystal structure of LiSc3Mo at the PBE level of DFT.

Unit cell a=4.723 b=4.723 c=4.723 alpha=90.00 beta=90.00 gamma=90.00
Space group Pm-3m (No. 221)
Unique sites:
Li 0.000 0.000 0.000 [1 per cell]
Sc 0.000 0.000 0.500 [3 per cell]
Mo 0.500 0.500 0.500 [1 per cell]

* N(E_F): 9.5 states/eV/f.u.


Version two
Computed, not measured: an optimized crystal structure of LiSc3Mo at the PBE level of DFT.

Unit cell a=5.115 b=5.115 c=5.115 alpha=90.00 beta=90.00 gamma=90.00
Space group Pm-3m (No. 221)
Unique sites:
Li 0.000 0.000 0.000 [1 per cell]
Sc 0.000 0.500 0.500 [3 per cell]
Mo 0.500 0.500 0.500 [1 per cell]

* N(E_F): 6.7 states/eV/f.u.


Energies relative to the minimum, eV/atom: version one 0.520; version two 0.000


Version one
Computed, not measured: an optimized crystal structure of Li2MoSe2 at the PBE level of DFT.

Unit cell a=6.871 b=6.871 c=3.238 alpha=90.00 beta=90.00 gamma=90.00
Space group P4/mbm (No. 127)
Unique sites:
Li 0.117 0.383 0.000 [4 per cell]
Mo 0.000 0.000 0.000 [2 per cell]
Se 0.192 0.692 0.500 [4 per cell]

* N(E_F): 2.9 states/eV/f.u.


Version two
Computed, not measured: an optimized crystal structure of Li2MoSe2 at the PBE level of DFT.

Unit cell a=4.640 b=4.640 c=7.165 alpha=90.00 beta=90.00 gamma=90.00
Space group I4/mmm (No. 139)
Unique sites:
Li 0.000 0.000 0.147 [4 per cell]
Mo 0.000 0.000 0.500 [2 per cell]
Se 0.000 0.500 0.250 [4 per cell]

* N(E_F): 0.0 states/eV/f.u.


Energies relative to the minimum, eV/atom: version one 0.000; version two 0.107